An optimized crystal structure of Ba2Zn2Ge. Source: Alexandria, functional GGA-PBEsol.

Structure (CIF):
```
data_Ba2Zn2Ge
_chemical_formula_sum 'Ba2 Zn2 Ge1'
_cell_length_a 10.482
_cell_length_b 10.482
_cell_length_c 10.482
_cell_angle_alpha 159.25
_cell_angle_beta 159.25
_cell_angle_gamma 29.51
_symmetry_space_group_name_H-M 'P 1'
_symmetry_Int_Tables_number 1
_symmetry_space_group_name_Hall 'P 1'
loop_
_atom_site_label
_atom_site_type_symbol
_atom_site_fract_x
_atom_site_fract_y
_atom_site_fract_z
Ba1 Ba 0.101 0.101 0.000
Ba2 Ba 0.899 0.899 0.000
Zn1 Zn 0.250 0.750 0.500
Zn2 Zn 0.750 0.250 0.500
Ge1 Ge 0.500 0.500 0.000
```

Summary:
V, A^3/atom: 28.89
Calculated total energy, eV/atom: -2.63